# Nd2SbSe GGA-PBE relaxed
# **E_form (uncorrected)**: -1519.3 meV per atom
# **Excess energy over the best structure of this formula in the dataset**: 0 meV/atom
data_Nd2SbSe
_chemical_formula_sum 'Nd6 Sb3 Se3'
_space_group_name_H-M_alt 'R -3 m'
_space_group_IT_number 166
_space_group_name_Hall '-R 3 2"'
_cell_length_a 4.3940
_cell_length_b 4.3940
_cell_length_c 21.3940
_cell_angle_alpha 90.00
_cell_angle_beta 90.00
_cell_angle_gamma 120.00
loop_
_atom_site_label
_atom_site_type_symbol
_atom_site_fract_x
_atom_site_fract_y
_atom_site_fract_z
Nd1 Nd 0.0000 0.0000 0.2465
Sb1 Sb 0.0000 0.0000 0.0000
Se1 Se 0.0000 0.0000 0.5000

# Nd3Sb2Se2 GGA-PBE relaxed
# **E_form (uncorrected)**: -1372.0 meV per atom
# **Excess energy over the best structure of this formula in the dataset**: 0 meV/atom
data_Nd3Sb2Se2
_chemical_formula_sum 'Nd6 Sb4 Se4'
_space_group_name_H-M_alt 'C 1 2/m 1'
_space_group_IT_number 12
_cell_length_a 13.472
_cell_length_b 4.294
_cell_length_c 8.625
_cell_angle_alpha 90.00
_cell_angle_beta 119.30
_cell_angle_gamma 90.00
loop_
_space_group_symop_operation_xyz
'x,y,z'
'-x,-y,-z'
'-x,y,-z'
'x,-y,z'
'x+1/2,y+1/2,z'
'-x+1/2,-y+1/2,-z'
'-x+1/2,y+1/2,-z'
'x+1/2,-y+1/2,z'
loop_
_atom_site_label
_atom_site_type_symbol
_atom_site_fract_x
_atom_site_fract_y
_atom_site_fract_z
Nd1 Nd 0.000 0.000 0.000
Nd2 Nd 0.151 0.500 0.729
Sb1 Sb 0.067 0.000 0.406
Se1 Se 0.170 0.500 0.092

# Nd2SbSe4 GGA-PBE relaxed
# **E_form (uncorrected)**: -1233.7 meV per atom
data_Nd2SbSe4
_chemical_formula_sum 'Nd4 Sb2 Se8'
_space_group_name_H-M_alt 'C 1 2/m 1'
_space_group_IT_number 12
_cell_length_a 15.077
_cell_length_b 4.424
_cell_length_c 7.415
_cell_angle_alpha 90.00
_cell_angle_beta 118.85
_cell_angle_gamma 90.00
loop_
_space_group_symop_operation_xyz
'x,y,z'
'-x,-y,-z'
'-x,y,-z'
'x,-y,z'
'x+1/2,y+1/2,z'
'-x+1/2,-y+1/2,-z'
'-x+1/2,y+1/2,-z'
'x+1/2,-y+1/2,z'
loop_
_atom_site_label
_atom_site_type_symbol
_atom_site_fract_x
_atom_site_fract_y
_atom_site_fract_z
Nd1 Nd 0.231 0.000 0.221
Sb1 Sb 0.000 0.500 0.500
Se1 Se 0.120 0.500 0.940
Se2 Se 0.134 0.000 0.487

| no. | DFT total energy (eV/atom) |
| --- | --- |
| 1 | -5.8049 |
| 2 | -5.5888 |
| 3 | -5.1760 |